Na3BeCr3O8 | Alexandria via LeMat-Bulk | GGA+U | optimized geometry; V = 160 Å³ per cell; SG = C2/m; E_tot = -6.434 eV/atom
1.0
5.0760 -2.9137 0.0000
5.0760 2.9137 0.0000
-3.4086 0.0000 5.4216
Na Be Cr O
3 1 3 8
Cartesian
0.0000 0.0000 0.0000
2.5380 1.4568 0.0000
2.5380 -1.4568 0.0000
-1.7043 0.0000 2.7108
0.8337 1.4568 2.7108
0.8337 -1.4568 2.7108
3.3717 0.0000 2.7108
2.5266 1.5687 3.6527
0.1300 0.0000 3.7784
4.2168 1.5687 1.7689
1.6750 0.0000 1.6148
5.0685 0.0000 3.8067
2.5266 -1.5687 3.6527
6.6134 0.0000 1.6432
4.2168 -1.5687 1.7689



Na2Be2CrO6 | Alexandria via LeMat-Bulk | GGA+U | optimized geometry; V = 106 Å³ per cell; SG = P-3; E_tot = -5.867 eV/atom
1.0
4.7198 0.0000 0.0000
-2.3599 4.0874 0.0000
0.0000 0.0000 5.4740
Na Be Cr O
2 2 1 6
Cartesian
0.0000 2.7250 2.7324
2.3599 1.3625 2.7416
0.0000 2.7250 5.4660
2.3599 1.3625 0.0080
0.0000 0.0000 0.0000
-1.5708 2.7261 4.4953
0.7844 1.3640 4.4953
1.5735 0.0027 0.9788
0.7864 4.0848 4.4953
1.5755 2.7234 0.9788
3.9307 1.3613 0.9788



Na3Be2CrO6 | Alexandria via LeMat-Bulk | GGA+U | optimized geometry; V = 144 Å³ per cell; SG = P-3m1; E_tot = -5.808 eV/atom
1.0
5.2778 0.0000 0.0000
-2.6389 4.5707 0.0000
0.0000 0.0000 5.9723
Na Be Cr O
3 2 1 6
Cartesian
0.0000 0.0000 0.0000
0.0000 3.0471 4.3525
2.6389 1.5236 1.6198
0.0000 3.0471 1.7973
2.6389 1.5236 4.1750
0.0000 0.0000 2.9862
0.0000 1.5292 1.8156
-1.3146 3.8061 1.8156
1.3243 0.7646 4.1567
1.3146 3.8061 1.8156
3.9534 0.7646 4.1567
2.6389 3.0415 4.1567